Entry 1:
The following is a DFT calculation (PBE-GGA) of a relaxed structure of SmCu3Rh4O12.

Unit cell a=6.5169 b=6.5169 c=6.5169 alpha=109.47 beta=109.47 gamma=109.47
Fractional positions:
Cu: 0.5000 0.5000 0.0000
Cu: 0.5000 0.0000 0.5000
Cu: 0.0000 0.5000 0.5000
Rh: 0.0000 0.0000 0.5000
Rh: 0.5000 0.0000 0.0000
Rh: 0.0000 0.5000 0.0000
Rh: 0.5000 0.5000 0.5000
O: 0.3040 0.8365 0.1405
O: 0.8365 0.1405 0.3040
O: 0.1635 0.4675 0.3040
O: 0.1405 0.3040 0.8365
O: 0.3040 0.1635 0.4675
O: 0.8365 0.5325 0.6960
O: 0.5325 0.6960 0.8365
O: 0.8595 0.6960 0.1635
O: 0.4675 0.3040 0.1635
O: 0.6960 0.8365 0.5325
O: 0.1635 0.8595 0.6960
O: 0.6960 0.1635 0.8595
Sm: 0.0000 0.0000 0.0000

---

Entry 2:
The following is a DFT calculation (PBE-GGA) of a relaxed structure of Sr2CuRhO4.

Unit cell a=5.3454 b=5.3454 c=5.3454 alpha=106.36 beta=111.05 gamma=111.05
Last column: magnetic moment on the atom in μB.
Fractional positions:
O: 0.3762 0.9129 0.8606  0.15
O: 0.9476 0.4633 0.0871  0.15
O: 0.6238 0.4844 0.5367  0.15
O: 0.0524 0.1394 0.5156  0.15
Rh: 0.5000 0.2500 0.7500  0.94
Sr: 0.5000 0.7500 0.2500  0.00
Sr: 0.0000 0.0000 0.0000  0.00
Cu: 0.0000 0.5000 0.5000  0.38

---

Let's list formation energy without anion corrections in order: -1978.8; -1149.8 kJ/mol of formula units.